Entry 1:
Computed, not measured: crystalline Ce2PaSi3Ir4 at its relaxed geometry at the PBE level of DFT.

Summary:
**M_tot**: 0.960 μB per formula unit
**SG**: No. 115
**Energy relative to the elements, uncorrected**: -0.922 eV per atom
**DOS(E_F)**: 9.46 states/eV per cell

Cell lengths 4.1757, 4.1757, 10.8561 Å; angles 90.00, 90.00, 90.00 degrees
Each line ends with the local moment (μB).
Positions (direct):
1 Si 0.0000 0.5000 0.1183  0.00
2 Ir 0.0000 0.0000 0.0000  0.00
3 Ir 0.0000 0.5000 0.3407  -0.01
4 Si 0.0000 0.0000 0.5000  -0.01
5 Si 0.5000 0.0000 0.8817  0.00
6 Ce 0.0000 0.5000 0.7679  0.41
7 Ir 0.5000 0.5000 0.0000  0.00
8 Pa 0.5000 0.5000 0.5000  0.02
9 Ce 0.5000 0.0000 0.2321  0.41
10 Ir 0.5000 0.0000 0.6593  -0.01

---

Entry 2:
Computed, not measured: crystalline CePaSi2Ir5 at its relaxed geometry at the PBE level of DFT.

Summary:
**M_tot**: 0.578 μB per formula unit
**SG**: No. 123
**Energy relative to the elements, uncorrected**: -0.689 eV per atom
**DOS(E_F)**: 8.20 states/eV per cell

Cell lengths 4.0202, 4.0202, 11.2106 Å; angles 90.00, 90.00, 90.00 degrees
Each line ends with the local moment (μB).
Positions (direct):
1 Ir 0.5000 0.0000 0.8217  0.00
2 Ir 0.5000 0.5000 0.5000  -0.04
3 Si 0.5000 0.5000 0.7104  0.00
4 Ir 0.0000 0.5000 0.8217  0.00
5 Si 0.5000 0.5000 0.2896  0.00
6 Pa 0.0000 0.0000 0.0000  0.00
7 Ir 0.5000 0.0000 0.1783  0.00
8 Ir 0.0000 0.5000 0.1783  0.00
9 Ce 0.0000 0.0000 0.5000  0.56